First-principles (PBE-GGA) data for a geometry-optimized Y3MoSe structure, as listed in Alexandria.

```
Y3MoSe
1.0
5.2555 0.0000 0.0000
0.0000 5.2555 0.0000
0.0000 0.0000 5.2555
Y Mo Se
3 1 1
Direct
0.0000 0.0000 0.5000 Y
0.0000 0.5000 0.0000 Y
0.5000 0.0000 0.0000 Y
0.5000 0.5000 0.5000 Mo
0.0000 0.0000 0.0000 Se
```

Magnetization ... 0.00 μB/atom
Relative energy among the computed polymorphs ... 0 meV per atom
N(E_F) ... 9.045 states/eV/cell
Uncorrected energy ... -0.481 Ry per atom
Formation energy (no corrections) ... 0.195 eV per atom

First-principles (PBE-GGA) data for a geometry-optimized Y2TaAl structure, as listed in Alexandria.

```
Y2TaAl
1.0
5.2562 -1.6090 0.0000
5.2562 1.6090 0.0000
-1.0409 0.0000 5.5385
Y Ta Al
2 1 1
Direct
0.2460 0.2460 0.2487 Y
0.7540 0.7540 0.7513 Y
0.0000 0.0000 0.5000 Ta
0.5000 0.5000 0.0000 Al
```

Magnetization ... 0.10 μB/atom
N(E_F) ... 5.134 states/eV/cell
Uncorrected energy ... -0.505 Ry per atom
ΔH_f (0 K) ... 0.2636 eV per atom

First-principles (PBE-GGA) data for a geometry-optimized NaHg2BrO2 structure, as listed in Alexandria.

```
NaHg2BrO2
1.0
6.3874 0.0000 0.0000
0.0000 6.3104 0.0000
-0.2099 0.0000 7.9575
Na Hg Br O
2 4 2 4
Direct
0.0009 0.2500 0.0742 Na
0.9991 0.7500 0.9258 Na
0.2553 0.7500 0.2873 Hg
0.4944 0.2500 0.0597 Hg
0.5056 0.7500 0.9403 Hg
0.7447 0.2500 0.7127 Hg
0.2466 0.7500 0.6041 Br
0.7534 0.2500 0.3959 Br
0.2587 0.5204 0.0737 O
0.2587 0.9796 0.0737 O
0.7413 0.0204 0.9263 O
0.7413 0.4796 0.9263 O
```

Magnetization ... 0.00 μB/atom
N(E_F) ... 1.480 states/eV/cell
Uncorrected energy ... -0.206 Ry per atom
Formation energy (no corrections) ... -0.552 eV per atom

First-principles (PBE-GGA) data for a geometry-optimized LiH4Rh structure, as listed in Alexandria.

```
LiH4Rh
1.0
2.6169 -3.9968 0.0000
2.6169 3.9968 0.0000
-2.3758 0.0000 4.6925
Li H Rh
2 8 2
Direct
0.0878 0.9122 0.7500 Li
0.9122 0.0878 0.2500 Li
0.0444 0.5581 0.4386 H
0.1391 0.3612 0.9967 H
0.3612 0.1391 0.4967 H
0.4419 0.9556 0.0614 H
0.5581 0.0444 0.9386 H
0.6388 0.8609 0.5033 H
0.8609 0.6388 0.0033 H
0.9556 0.4419 0.5614 H
0.2457 0.7543 0.2500 Rh
0.7543 0.2457 0.7500 Rh
```

Magnetization ... 0.00 μB/atom
Relative energy among the computed polymorphs ... 27 meV per atom
N(E_F) ... 3.092 states/eV/cell
Uncorrected energy ... -0.288 Ry per atom

First-principles (PBE-GGA) data for a geometry-optimized RbTaAgCl2 structure, as listed in Alexandria.

```
RbTaAgCl2
1.0
4.8582 0.0000 0.0000
0.0000 4.8582 0.0000
0.0000 0.0000 8.6527
Rb Ta Ag Cl
1 1 1 2
Direct
0.0000 0.0000 0.0000 Rb
0.0000 0.0000 0.5000 Ta
0.5000 0.5000 0.0000 Ag
0.0000 0.5000 0.5000 Cl
0.5000 0.0000 0.5000 Cl
```

Magnetization ... 0.55 μB/atom
N(E_F) ... 2.139 states/eV/cell
Uncorrected energy ... -0.277 Ry per atom
Formation energy (no corrections) ... 0.100 eV per atom

First-principles (PBE-GGA) data for a geometry-optimized NaPt2C structure, as listed in Alexandria.

```
NaPt2C
1.0
-2.6675 2.6675 5.9225
2.6675 -2.6675 5.9225
2.6675 2.6675 -5.9225
Na Pt C
2 4 2
Direct
0.3750 0.6250 0.7500 Na
0.6250 0.3750 0.2500 Na
0.0000 0.0000 0.0000 Pt
0.0000 0.0000 0.5000 Pt
0.0000 0.5000 0.0000 Pt
0.5000 0.0000 0.5000 Pt
0.1250 0.8750 0.2500 C
0.8750 0.1250 0.7500 C
```

Magnetization ... 0.00 μB/atom
Relative energy among the computed polymorphs ... 0 meV per atom
N(E_F) ... 3.028 states/eV/cell
Uncorrected energy ... -0.398 Ry per atom
ΔH_f (0 K) ... 0.2438 eV per atom

First-principles (PBE-GGA) data for a geometry-optimized PuSc2In structure, as listed in Alexandria.

```
PuSc2In
1.0
1.6516 0.9536 10.4241
-1.6516 0.9536 10.4241
0.0000 -1.9071 10.4241
Pu Sc In
1 2 1
Direct
0.0000 0.0000 0.0000 Pu
0.2472 0.2472 0.2472 Sc
0.4192 0.4192 0.4192 Sc
0.8332 0.8332 0.8332 In
```

Magnetization ... 1.53 μB/atom
Relative energy among the computed polymorphs ... 91 meV per atom
N(E_F) ... 10.519 states/eV/cell
Uncorrected energy ... -0.552 Ry per atom
ΔH_f (0 K) ... -0.0727 eV per atom

First-principles (PBE-GGA) data for a geometry-optimized Be2Ag2Sn structure, as listed in Alexandria.

```
Be2Ag2Sn
1.0
4.5054 0.0000 0.0000
0.0000 4.5054 0.0000
0.0000 0.0000 5.3927
Be Ag Sn
2 2 1
Direct
0.0000 0.5000 0.0000 Be
0.5000 0.0000 0.0000 Be
0.0000 0.0000 0.5000 Ag
0.5000 0.5000 0.5000 Ag
0.0000 0.0000 0.0000 Sn
```

Magnetization ... 0.00 μB/atom
Relative energy among the computed polymorphs ... 724 meV per atom
N(E_F) ... 1.129 states/eV/cell
Uncorrected energy ... -0.183 Ry per atom
ΔH_f (0 K) ... 0.9470 eV per atom

First-principles (PBE-GGA) data for a geometry-optimized Zr2HgPb structure, as listed in Alexandria.

```
Zr2HgPb
1.0
-2.2815 2.2815 4.3397
2.2815 -2.2815 4.3397
2.2815 2.2815 -4.3397
Zr Hg Pb
2 1 1
Direct
0.2500 0.7500 0.5000 Zr
0.7500 0.2500 0.5000 Zr
0.0000 0.0000 0.0000 Hg
0.5000 0.5000 0.0000 Pb
```

Magnetization ... 0.00 μB/atom
Relative energy among the computed polymorphs ... 0 meV per atom
N(E_F) ... 3.059 states/eV/cell
Uncorrected energy ... -0.401 Ry per atom
ΔH_f (0 K) ... -0.1753 eV per atom

First-principles (PBE-GGA) data for a geometry-optimized PmNbRe structure, as listed in Alexandria.

```
PmNbRe
1.0
0.0000 4.3742 5.2329
2.8963 0.0000 5.2329
2.8963 4.3742 0.0000
Pm Nb Re
2 2 2
Direct
0.1770 0.8230 0.1770 Pm
0.8230 0.1770 0.8230 Pm
0.3188 0.3188 0.6812 Nb
0.6812 0.6812 0.3188 Nb
0.2500 0.2500 0.2500 Re
0.7500 0.7500 0.7500 Re
```

Magnetization ... 0.00 μB/atom
N(E_F) ... 6.523 states/eV/cell
Uncorrected energy ... -0.651 Ry per atom
ΔH_f (0 K) ... 0.2268 eV per atom

First-principles (PBE-GGA) data for a geometry-optimized Cs2SnH structure, as listed in Alexandria.

```
Cs2SnH
1.0
0.0000 4.4290 4.4290
4.4290 0.0000 4.4290
4.4290 4.4290 0.0000
Cs Sn H
2 1 1
Direct
0.2500 0.2500 0.2500 Cs
0.7500 0.7500 0.7500 Cs
0.0000 0.0000 0.0000 Sn
0.5000 0.5000 0.5000 H
```

Magnetization ... 0.75 μB/atom
Relative energy among the computed polymorphs ... 123 meV per atom
N(E_F) ... 0.496 states/eV/cell
Uncorrected energy ... -0.144 Ry per atom

First-principles (PBE-GGA) data for a geometry-optimized K2AgBi2 structure, as listed in Alexandria.

```
K2AgBi2
1.0
7.7012 0.0000 0.0000
0.0000 7.7012 0.0000
0.0000 0.0000 5.8826
K Ag Bi
4 2 4
Direct
0.1653 0.3347 0.0000 K
0.3347 0.8347 0.0000 K
0.6653 0.1653 0.0000 K
0.8347 0.6653 0.0000 K
0.0000 0.0000 0.5000 Ag
0.5000 0.5000 0.5000 Ag
0.1453 0.6453 0.5000 Bi
0.3547 0.1453 0.5000 Bi
0.6453 0.8547 0.5000 Bi
0.8547 0.3547 0.5000 Bi
```

Magnetization ... 0.00 μB/atom
Relative energy among the computed polymorphs ... 0 meV per atom
N(E_F) ... 5.323 states/eV/cell
Uncorrected energy ... -0.205 Ry per atom
ΔH_f (0 K) ... -0.2332 eV per atom